[1]
Computed, not measured: NaLa2ReTc at its PBEsol-relaxed geometry at the SCAN level of DFT.

## Properties
Calculated formation energy in kJ/mol of atoms: 113.57
Uncorrected energy in eV per cell: -190.70
Space group: P4/mmm (123)

Unit cell a=5.233 b=5.233 c=5.340 alpha=90.00 beta=90.00 gamma=90.00
Fractional coordinates of all 5 atoms:
La 0.000 0.500 0.000
Na 0.000 0.000 0.500
Tc 0.500 0.500 0.500
Re 0.000 0.000 0.000
La 0.500 0.000 0.000


[2]
Computed, not measured: LaAsSe2Cl at its PBEsol-relaxed geometry at the SCAN level of DFT.

## Properties
Uncorrected formation energy in meV per atom: -331
Uncorrected energy in eV per cell: -113.08
Space group: P4/mmm (123)

Unit cell a=4.969 b=4.875 c=4.875 alpha=90.00 beta=90.00 gamma=90.00
Fractional coordinates of all 5 atoms:
Se 0.000 0.000 0.500
Se 0.000 0.500 0.000
La 0.500 0.500 0.500
As 0.500 0.000 0.000
Cl 0.000 0.000 0.000


[3]
Computed, not measured: CdCoSe2N at its PBEsol-relaxed geometry at the SCAN level of DFT.

## Properties
Uncorrected formation energy in meV per atom: 1297
Uncorrected energy in eV per cell: -90.68
Space group: P4/mmm (123)

Unit cell a=4.032 b=5.182 c=5.182 alpha=90.00 beta=90.00 gamma=90.00
Fractional coordinates of all 5 atoms:
Cd 0.000 0.000 0.000
Se 0.000 0.000 0.500
N 0.500 0.000 0.000
Co 0.500 0.500 0.500
Se 0.000 0.500 0.000


[4]
Computed, not measured: KTl2W at its PBEsol-relaxed geometry at the SCAN level of DFT.

## Properties
Calculated formation energy in kJ/mol of atoms: 69.70
Uncorrected energy in eV per cell: -219.84
Space group: Imm2 (44)

Unit cell a=2.952 b=4.790 c=8.567 alpha=106.24 beta=99.92 gamma=90.00
Fractional coordinates of all 4 atoms:
Tl 0.171 0.671 0.342
K 0.814 0.314 0.629
W 0.519 0.519 0.038
Tl 0.996 0.996 0.991


[5]
Computed, not measured: SrZr2Mn at its PBEsol-relaxed geometry at the SCAN level of DFT.

## Properties
Calculated formation energy in kJ/mol of atoms: 45.48
Uncorrected energy in eV per cell: -100.04
Space group: R-3m (166)

Unit cell a=3.404 b=3.404 c=9.686 alpha=79.88 beta=79.88 gamma=60.00
Fractional coordinates of all 4 atoms:
Sr 0.000 0.000 0.000
Mn 0.500 0.500 0.500
Zr 0.776 0.776 0.672
Zr 0.224 0.224 0.328


[6]
Computed, not measured: BaBe2Cu at its PBEsol-relaxed geometry at the SCAN level of DFT.

## Properties
Calculated formation energy in kJ/mol of atoms: 8.16
Uncorrected energy in eV per cell: -63.12
Space group: R-3m (166)

Unit cell a=3.888 b=3.888 c=6.106 alpha=71.44 beta=71.44 gamma=60.00
Fractional coordinates of all 4 atoms:
Be 0.321 0.321 0.038
Ba 0.500 0.500 0.500
Be 0.679 0.679 0.962
Cu 0.000 0.000 0.000


[7]
Computed, not measured: As2PIr at its PBEsol-relaxed geometry at the SCAN level of DFT.

## Properties
Calculated formation energy in kJ/mol of atoms: 51.05
Uncorrected energy in eV per cell: -119.76
Space group: Pmmm (47)

Unit cell a=2.902 b=4.582 c=4.624 alpha=90.00 beta=90.00 gamma=90.00
Fractional coordinates of all 4 atoms:
As 0.000 0.000 0.000
P 0.000 0.500 0.500
As 0.500 0.500 0.000
Ir 0.500 0.000 0.500


[8]
Computed, not measured: LaSbNO2 at its PBEsol-relaxed geometry at the SCAN level of DFT.

## Properties
Uncorrected formation energy in meV per atom: -1540
Uncorrected energy in eV per cell: -109.82
Space group: P4/mmm (123)

Unit cell a=4.127 b=4.127 c=4.196 alpha=90.00 beta=90.00 gamma=90.00
Fractional coordinates of all 5 atoms:
O 0.000 0.500 0.000
Sb 0.000 0.000 0.000
La 0.500 0.500 0.500
O 0.500 0.000 0.000
N 0.000 0.000 0.500


[9]
Computed, not measured: CoAgRu2 at its PBEsol-relaxed geometry at the SCAN level of DFT.

## Properties
Calculated formation energy in kJ/mol of atoms: 44.70
Uncorrected energy in eV per cell: -116.47
Space group: C2/m (12)

Unit cell a=2.665 b=4.556 c=4.721 alpha=102.36 beta=106.39 gamma=90.00
Fractional coordinates of all 4 atoms:
Ag 0.500 0.000 0.000
Ru 0.732 0.727 0.463
Co 0.000 0.500 0.000
Ru 0.268 0.273 0.537


[10]
Computed, not measured: Pd2RhPbF at its PBEsol-relaxed geometry at the SCAN level of DFT.

## Properties
Uncorrected formation energy in meV per atom: 483
Uncorrected energy in eV per cell: -176.23
Space group: P4/mmm (123)

Unit cell a=4.288 b=4.998 c=4.998 alpha=90.00 beta=90.00 gamma=90.00
Fractional coordinates of all 5 atoms:
Rh 0.500 0.500 0.500
Pd 0.000 0.000 0.500
Pb 0.000 0.000 0.000
Pd 0.000 0.500 0.000
F 0.500 0.000 0.000


[11]
Computed, not measured: TaHg2Cl at its PBEsol-relaxed geometry at the SCAN level of DFT.

## Properties
Uncorrected formation energy in meV per atom: 471
Uncorrected energy in eV per cell: -209.01
Space group: Pmmm (47)

Unit cell a=3.021 b=4.724 c=5.414 alpha=90.00 beta=90.00 gamma=90.00
Fractional coordinates of all 4 atoms:
Cl 0.000 0.500 0.500
Hg 0.500 0.500 0.000
Ta 0.500 0.000 0.500
Hg 0.000 0.000 0.000


[12]
Computed, not measured: LaCd2PtC at its PBEsol-relaxed geometry at the SCAN level of DFT.

## Properties
Calculated formation energy in kJ/mol of atoms: 164.30
Uncorrected energy in eV per cell: -175.71
Space group: P4/mmm (123)

Unit cell a=4.046 b=5.810 c=5.810 alpha=90.00 beta=90.00 gamma=90.00
Fractional coordinates of all 5 atoms:
Pt 0.500 0.500 0.500
Cd 0.000 0.500 0.000
Cd 0.000 0.000 0.500
C 0.500 0.000 0.000
La 0.000 0.000 0.000